1.
## HoBeAu (PBE-GGA)

Data for a relaxed HoBeAu crystal.

Relative energy among the computed polymorphs in eV per atom: 0.475
Magnetization in Bohr magnetons per cell: 0.000

Geometry as POSCAR:
```
HoBeAu
1.0
0.000 3.273 3.273
3.273 0.000 3.273
3.273 3.273 0.000
Au Be Ho
1 1 1
Cartesian
3.273 3.273 3.273
0.000 0.000 0.000
1.636 1.636 1.636
```

***

2.
## Be2InAu2 (PBE-GGA)

Data for a relaxed Be2InAu2 crystal.

E_tot in eV per cell: -17.19

Geometry as POSCAR:
```
Be2InAu2
1.0
2.940 -5.795 -0.904
-0.690 -5.938 2.703
-2.866 5.260 -2.676
Be In Au
2 1 2
Cartesian
-1.215 -3.272 0.463
0.600 -3.201 -1.340
0.000 0.000 0.000
0.842 -4.393 0.674
1.408 -7.341 1.126
```

***

3.
## Be2InAu (PBE-GGA)

Data for a relaxed Be2InAu crystal.

E_tot in eV per cell: -11.60

Geometry as POSCAR:
```
Be2InAu
1.0
1.914 -3.746 1.361
-2.137 -3.849 -0.408
1.369 -2.985 -2.960
Be In Au
2 1 1
Cartesian
0.859 -7.935 -1.506
0.000 0.000 0.000
0.573 -5.290 -1.004
0.286 -2.645 -0.502
```

***

4.
## BeInAu (PBE-GGA)

Data for a relaxed BeInAu crystal.

Relative energy among the computed polymorphs in eV per atom: 0.000

Geometry as POSCAR:
```
BeInAu
1.0
0.000 3.083 3.083
3.083 0.000 3.083
3.083 3.083 0.000
Au Be In
1 1 1
Cartesian
0.000 0.000 0.000
1.541 1.541 1.541
4.624 4.624 4.624
```